# SmAsPt2 (PBE, relaxed)
# crystal system = orthorhombic
# formation energy from the elements = -0.951 eV per atom
# DFT total energy = -6.314 eV per atom
data_SmAsPt2
_chemical_formula_sum 'Sm4 As4 Pt8'
_cell_length_a 4.186
_cell_length_b 10.319
_cell_length_c 7.117
_cell_angle_alpha 90.00
_cell_angle_beta 90.00
_cell_angle_gamma 90.00
_space_group_name_H-M_alt 'C m c m'
_space_group_IT_number 63
_space_group_name_Hall '-C 2c 2'
loop_
_atom_site_label
_atom_site_type_symbol
_atom_site_fract_x
_atom_site_fract_y
_atom_site_fract_z
Sm1 Sm 0.000 0.054 0.250
As1 As 0.000 0.231 0.750
Pt1 Pt 0.000 0.365 0.052

---

# Zr2CdOs (PBE, relaxed)
# crystal system = orthorhombic
# formation energy from the elements = -0.110 eV per atom
# DFT total energy = -7.421 eV per atom
data_Zr2CdOs
_chemical_formula_sum 'Zr4 Cd2 Os2'
_cell_length_a 3.342
_cell_length_b 4.759
_cell_length_c 10.168
_cell_angle_alpha 90.00
_cell_angle_beta 90.00
_cell_angle_gamma 90.00
_space_group_name_H-M_alt 'I m m 2'
_space_group_IT_number 44
loop_
_space_group_symop_operation_xyz
'x,y,z'
'-x,-y,z'
'-x,y,z'
'x,-y,z'
'x+1/2,y+1/2,z+1/2'
'-x+1/2,-y+1/2,z+1/2'
'-x+1/2,y+1/2,z+1/2'
'x+1/2,-y+1/2,z+1/2'
loop_
_atom_site_label
_atom_site_type_symbol
_atom_site_fract_x
_atom_site_fract_y
_atom_site_fract_z
Zr1 Zr 0.000 0.000 0.000
Zr2 Zr 0.000 0.500 0.220
Cd1 Cd 0.000 0.500 0.781
Os1 Os 0.000 0.000 0.513

---

# KNaCa2Mn (PBE, relaxed)
# crystal system = tetragonal
# formation energy from the elements = 0.738 eV per atom
# DFT total energy = -2.380 eV per atom
data_KNaCa2Mn
_chemical_formula_sum 'K1 Na1 Ca2 Mn1'
_cell_length_a 6.197
_cell_length_b 6.197
_cell_length_c 5.633
_cell_angle_alpha 90.00
_cell_angle_beta 90.00
_cell_angle_gamma 90.00
_space_group_name_H-M_alt 'P 4/m m m'
_space_group_IT_number 123
_space_group_name_Hall '-P 4 2'
loop_
_atom_site_label
_atom_site_type_symbol
_atom_site_fract_x
_atom_site_fract_y
_atom_site_fract_z
K1 K 0.000 0.000 0.000
Na1 Na 0.500 0.500 0.500
Ca1 Ca 0.000 0.500 0.500
Mn1 Mn 0.500 0.500 0.000

---

Volume (Å³/atom)
19.2, 20.2, 43.3
Magnetization (μB per atom)
0.00, 0.00, 0.88